First-principles (PBE) data for AcNpTc after structural relaxation, as listed in OQMD.

Computed properties:
* E_form: 1280 meV/atom
* magnetic moment: 0.001 μB per atom
* V: 75 Å³ per cell
* crystal system: cubic
* total DFT energy (no corrections): -7.799 eV per atom

a = 4.731 Å, b = 4.731 Å, c = 4.731 Å
α = 60.00°, β = 60.00°, γ = 60.00°
Positions (direct):
Ac 0.000 0.000 0.000
Np 0.250 0.250 0.250
Tc 0.500 0.500 0.500

---

First-principles (PBE) data for NdBePt after structural relaxation, as listed in OQMD.

Computed properties:
* magnetic moment: 0.000 μB per atom
* V: 69 Å³ per cell
* crystal system: cubic
* excess energy over the best structure of this formula in the dataset: 0.000 eV per formula unit
* total DFT energy (no corrections): -5.153 eV per atom

a = 4.599 Å, b = 4.599 Å, c = 4.599 Å
α = 60.00°, β = 60.00°, γ = 60.00°
Positions (direct):
Nd 0.000 0.000 0.000
Be 0.500 0.500 0.500
Pt 0.750 0.750 0.750

---

First-principles (PBE) data for Tm3Te2P after structural relaxation, as listed in OQMD.

Computed properties:
* magnetic moment: 0.001 μB per atom
* V: 156 Å³ per cell
* crystal system: trigonal
* total DFT energy (no corrections): -5.568 eV per atom

a = 4.123 Å, b = 4.123 Å, c = 10.571 Å
α = 90.00°, β = 90.00°, γ = 120.00°
Positions (direct):
Tm 0.000 0.000 0.000
Tm 0.333 0.667 0.369
Tm 0.667 0.333 0.631
Te 0.333 0.667 0.823
Te 0.667 0.333 0.177
P 0.000 0.000 0.500

---

First-principles (PBE) data for Li2NdAu2 after structural relaxation, as listed in OQMD.

Computed properties:
* magnetic moment: 0.000 μB per atom
* V: 103 Å³ per cell
* crystal system: tetragonal
* total DFT energy (no corrections): -3.637 eV per atom

a = 7.155 Å, b = 7.155 Å, c = 7.155 Å
α = 147.93°, β = 147.93°, γ = 45.99°
Positions (direct):
Li 0.250 0.750 0.500
Li 0.750 0.250 0.500
Nd 0.000 0.000 0.000
Au 0.390 0.390 0.000
Au 0.610 0.610 0.000

---

First-principles (PBE) data for LaTmBe2Si2 after structural relaxation, as listed in OQMD.

Computed properties:
* magnetic moment: 0.020 μB per atom
* V: 111 Å³ per cell
* crystal system: trigonal
* total DFT energy (no corrections): -5.221 eV per atom

a = 3.915 Å, b = 3.915 Å, c = 8.339 Å
α = 90.00°, β = 90.00°, γ = 120.00°
Positions (direct):
La 0.000 0.000 0.000
Tm 0.000 0.000 0.500
Be 0.333 0.667 0.268
Be 0.667 0.333 0.732
Si 0.333 0.667 0.733
Si 0.667 0.333 0.267

---

First-principles (PBE) data for TbNd3Si4 after structural relaxation, as listed in OQMD.

Computed properties:
* magnetic moment: 0.003 μB per atom
* V: 189 Å³ per cell
* crystal system: monoclinic
* total DFT energy (no corrections): -5.853 eV per atom

a = 5.879 Å, b = 3.920 Å, c = 8.185 Å
α = 90.00°, β = 90.31°, γ = 90.00°
Positions (direct):
Tb 0.000 0.000 0.000
Nd 0.271 0.000 0.501
Nd 0.500 0.500 0.860
Nd 0.772 0.500 0.358
Si 0.009 0.500 0.721
Si 0.259 0.500 0.212
Si 0.507 0.000 0.142
Si 0.764 0.000 0.647

---

Which formula does entry 3 have?
Tm3Te2P